## 1
Material: NbBi2O2
Method: DFT, PBE-GGA
State: relaxed

Cell lengths 5.483, 5.483, 6.936 Å; angles 90.00, 90.00, 90.00 degrees
Space group I4/mmm (No. 139)
Symmetry-distinct sites (fractional):
Nb 0.000 0.000 0.000 (multiplicity 2)
Bi 0.000 0.500 0.250 (multiplicity 4)
O 0.000 0.000 0.279 (multiplicity 4)

Calculated values
The spin magnetization is 0.00 μB/cell.

## 2
Material: NbBi2O2
Method: DFT, PBE-GGA
State: relaxed

Cell lengths 6.012, 6.012, 5.378 Å; angles 90.00, 90.00, 90.00 degrees
Space group P4/mbm (No. 127)
Symmetry-distinct sites (fractional):
Nb 0.000 0.000 0.000 (multiplicity 2)
Bi 0.196 0.304 0.500 (multiplicity 4)
O 0.242 0.258 0.000 (multiplicity 4)

Calculated values
The spin magnetization is 0.00 μB/cell.

We find 2 to be the most stable, with the next structure 331 meV per atom higher.

## 1
Material: Nb2BiO
Method: DFT, PBE-GGA
State: relaxed

Cell lengths 6.538, 6.538, 6.538 Å; angles 90.00, 90.00, 90.00 degrees
Space group Fm-3m (No. 225)
Symmetry-distinct sites (fractional):
Nb 0.250 0.250 0.250 (multiplicity 8)
Bi 0.000 0.000 0.000 (multiplicity 4)
O 0.000 0.000 0.500 (multiplicity 4)

Calculated values
The spin magnetization is 0.01 μB/cell.

## 2
Material: Nb2BiO
Method: DFT, PBE-GGA
State: relaxed

Cell lengths 5.207, 5.207, 12.536 Å; angles 90.00, 90.00, 90.00 degrees
Space group I-42d (No. 122)
Symmetry-distinct sites (fractional):
Nb 0.086 0.250 0.125 (multiplicity 8)
Bi 0.000 0.000 0.500 (multiplicity 4)
O 0.000 0.000 0.000 (multiplicity 4)

Calculated values
The spin magnetization is 0.00 μB/cell.

We find 2 to be the most stable, with the next structure 563 meV per atom higher.

## 1
Material: Nb2BiO6
Method: DFT, PBE-GGA
State: relaxed

Cell lengths 10.239, 3.932, 7.357 Å; angles 90.00, 116.08, 90.00 degrees
Space group C2/m (No. 12)
Symmetry-distinct sites (fractional):
Nb 0.179 0.000 0.118 (multiplicity 4)
Bi 0.000 0.000 0.500 (multiplicity 2)
O 0.021 0.000 0.189 (multiplicity 4)
O 0.155 0.500 0.622 (multiplicity 4)
O 0.210 0.500 0.080 (multiplicity 4)

Calculated values
The spin magnetization is 1.34 μB/cell.

## 2
Material: Nb2BiO6
Method: DFT, PBE-GGA
State: relaxed

Cell lengths 5.3241, 5.3241, 5.1581 Å; angles 90.00, 90.00, 120.00 degrees
Space group P-31m (No. 162)
Symmetry-distinct sites (fractional):
Nb 0.3333 0.6667 0.0000 (multiplicity 2)
Bi 0.0000 0.0000 0.5000 (multiplicity 1)
O 0.0000 0.3605 0.2186 (multiplicity 6)

Calculated values
The spin magnetization is 0.00 μB/cell.

We find 1 to be the most stable, with the next structure 6 meV per atom higher.

## 1
Material: NbBi2O5
Method: DFT, PBE-GGA
State: relaxed

Cell lengths 7.521, 3.825, 17.147 Å; angles 90.00, 90.00, 90.00 degrees
Space group Pnma (No. 62)
Symmetry-distinct sites (fractional):
Nb 0.114 0.250 0.077 (multiplicity 4)
Bi 0.109 0.250 0.415 (multiplicity 4)
Bi 0.154 0.250 0.758 (multiplicity 4)
O 0.057 0.750 0.049 (multiplicity 4)
O 0.062 0.750 0.343 (multiplicity 4)
O 0.121 0.750 0.849 (multiplicity 4)
O 0.177 0.750 0.510 (multiplicity 4)
O 0.249 0.750 0.667 (multiplicity 4)

Calculated values
The spin magnetization is 0.00 μB/cell.

## 2
Material: NbBi2O5
Method: DFT, PBE-GGA
State: relaxed

Cell lengths 5.821, 5.919, 5.987 Å; angles 65.09, 68.64, 64.45 degrees
Space group P1 (No. 1)
Symmetry-distinct sites (fractional):
Nb 0.000 0.000 0.000 (multiplicity 1)
Bi 0.347 0.256 0.126 (multiplicity 1)
Bi 0.947 0.642 0.607 (multiplicity 1)
O 0.135 0.733 0.853 (multiplicity 1)
O 0.169 0.917 0.271 (multiplicity 1)
O 0.221 0.248 0.817 (multiplicity 1)
O 0.702 0.918 0.265 (multiplicity 1)
O 0.723 0.314 0.847 (multiplicity 1)

Calculated values
The spin magnetization is 0.00 μB/cell.

We find 1 to be the most stable, with the next structure 55 meV per atom higher.